No. 1
Here is an optimized crystal structure of CdSiHg2H from Alexandria via LeMat-Bulk. Energies are from PBE-GGA.

Cell: 5.1868 5.1868 3.7148 Å, 90.00 90.00 90.00°
With the nearest neighbours (Å) after each atom.
Space group P4/mmm (No. 123)
One atom of each set of equivalent atoms:
Cd 0.0000 0.0000 0.0000  2 H 1.86
Si 0.5000 0.5000 0.0000  8 Hg 3.19
Hg 0.0000 0.5000 0.5000  2 H 2.59
H 0.0000 0.0000 0.5000  2 Cd 1.86

Its total energy is -7.69 eV/cell.

***

No. 2
Here is an optimized crystal structure of GaBi4Pd15 from Alexandria via LeMat-Bulk. Energies are from PBE-GGA.

Cell: 4.1152 4.1152 20.2991 Å, 90.00 90.00 90.00°
With the nearest neighbours (Å) after each atom.
Space group P4/mmm (No. 123)
One atom of each set of equivalent atoms:
Ga 0.0000 0.0000 0.0000  12 Pd 2.75-2.91
Bi 0.0000 0.0000 0.1898  12 Pd 2.89-2.98
Bi 0.0000 0.0000 0.3969  12 Pd 2.91-2.93
Pd 0.0000 0.5000 0.0900  8 Pd 2.75-2.96, 2 Ga 2.75, 2 Bi 2.89
Pd 0.0000 0.5000 0.2957  8 Pd 2.90-2.93, 4 Bi 2.91-2.98
Pd 0.0000 0.5000 0.5000  8 Pd 2.91-2.92, 4 Bi 2.93
Pd 0.5000 0.5000 0.0000  8 Pd 2.75, 4 Ga 2.91
Pd 0.5000 0.5000 0.1951  8 Pd 2.90-2.96, 4 Bi 2.91
Pd 0.5000 0.5000 0.3981  4 Bi 2.91, 8 Pd 2.92-2.93

Its total energy is -102.23 eV/cell. For the energy relative to the elements, the calculation gives -0.29 eV/atom.

***

No. 3
Here is an optimized crystal structure of ZnCd5Pt6 from Alexandria via LeMat-Bulk. Energies are from PBE-GGA.

Cell: 8.7146 12.6296 4.2659 Å, 90.00 119.17 90.00°
With the nearest neighbours (Å) after each atom.
Space group C2/m (No. 12)
One atom of each set of equivalent atoms:
Zn 0.0000 0.0000 0.0000  8 Pt 2.75-2.78, 4 Cd 3.04
Cd 0.0000 0.1717 0.5000  8 Pt 2.81-2.88, 2 Cd 2.98, 2 Zn 3.04
Cd 0.0000 0.3366 0.0000  8 Pt 2.87-2.90, 4 Cd 2.97-2.98
Cd 0.0000 0.5000 0.5000  8 Pt 2.83-2.94, 4 Cd 2.97
Pt 0.2343 0.0000 0.7345  2 Zn 2.78, 6 Cd 2.81-2.94, 4 Pt 2.95
Pt 0.2416 0.1617 0.2415  1 Zn 2.75, 7 Cd 2.82-2.90, 2 Pt 2.95

Its total energy is -92.60 eV/cell. For the energy relative to the elements, the calculation gives -0.35 eV/atom.

***

No. 4
Here is an optimized crystal structure of VZn2Ni from Alexandria via LeMat-Bulk. Energies are from PBE-GGA.

Cell: 6.8153 6.8153 4.9502 Å, 90.00 90.00 90.00°
With the nearest neighbours (Å) after each atom.
Space group I-42d (No. 122)
One atom of each set of equivalent atoms:
V 0.0000 0.0000 0.0000  2 Ni 2.48, 4 Zn 2.60
Zn 0.2269 0.2500 0.6250  2 Ni 2.38, 2 Zn 2.50, 2 V 2.60
Ni 0.0000 0.0000 0.5000  4 Zn 2.38, 2 V 2.48

Its total energy is -63.99 eV/cell. For the energy relative to the elements, the calculation gives 0.36 eV/atom.

***

No. 5
Here is an optimized crystal structure of KBaPb2 from Alexandria via LeMat-Bulk. Energies are from PBE-GGA.

Cell: 3.6751 3.6751 11.0134 Å, 90.00 90.00 90.00°
With the nearest neighbours (Å) after each atom.
Space group P4/mmm (No. 123)
One atom of each set of equivalent atoms:
K 0.0000 0.0000 0.0000  4 K 3.68, 8 Pb 3.82
Ba 0.0000 0.0000 0.5000  4 Ba 3.68, 8 Pb 3.76
Pb 0.5000 0.5000 0.2536  4 Pb 3.68, 4 Ba 3.76, 4 K 3.82

Its total energy is -11.53 eV/cell. For the energy relative to the elements, the calculation gives -0.27 eV/atom. The value obtained for the energy relative to the lowest polymorph listed for this composition is 104.0 meV per atom.

***

No. 6
Here is an optimized crystal structure of K2RbHg6 from Alexandria via LeMat-Bulk. Energies are from PBE-GGA.

Cell: 14.1171 9.5242 5.6008 Å, 90.00 112.87 90.00°
With the nearest neighbours (Å) after each atom.
Space group C2/m (No. 12)
One atom of each set of equivalent atoms:
K 0.1475 0.0000 0.1502  10 Hg 3.45-3.80, 1 K 3.84
Rb 0.0000 0.5000 0.0000  8 Hg 3.76-4.18
Hg 0.0000 0.1740 0.5000  3 Hg 3.12-3.31
Hg 0.2398 0.1724 0.7410  4 Hg 3.12-3.28, 3 K 3.45-3.46

Its total energy is -13.69 eV/cell. For the energy relative to the elements, the calculation gives -0.21 eV/atom. The value obtained for the energy relative to the lowest polymorph listed for this composition is 48.6 meV per atom.

***

No. 7
Here is an optimized crystal structure of NbVCuTc2 from Alexandria via LeMat-Bulk. Energies are from PBE-GGA.

Cell: 4.6376 4.6376 4.6036 Å, 90.00 90.00 90.00°
With the nearest neighbours (Å) after each atom.
Space group P4/mmm (No. 123)
One atom of each set of equivalent atoms:
Nb 0.0000 0.0000 0.0000  2 Cu 2.30, 4 Tc 2.32
V 0.5000 0.5000 0.5000  8 Tc 3.27, 4 Cu 3.28
Cu 0.0000 0.0000 0.5000  2 Nb 2.30
Tc 0.0000 0.5000 0.0000  2 Nb 2.32

Its total energy is -34.97 eV/cell. For the energy relative to the elements, the calculation gives 1.81 eV/atom.

***

No. 8
Here is an optimized crystal structure of AlBiAsO5 from Alexandria via LeMat-Bulk. Energies are from PBE-GGA.

Cell: 7.1297 8.7961 7.5089 Å, 90.00 117.47 90.00°
With the nearest neighbours (Å) after each atom.
Space group C2/c (No. 15)
One atom of each set of equivalent atoms:
Al 0.2500 0.2500 0.0000  6 O 1.95-1.97
Bi 0.0000 0.0486 0.2500  3 O 2.19-2.39
As 0.0000 0.4459 0.2500  4 O 1.76-1.96
O 0.0000 0.2003 0.7500  2 Al 1.95
O 0.0502 0.3182 0.0969  1 As 1.76, 1 Al 1.97
O 0.2256 0.0417 0.0804  1 Al 1.96, 1 As 1.96

Its total energy is -199.93 eV/cell. The value obtained for the formation energy (no corrections) is -1.61 eV per atom.

***

No. 9
Here is an optimized crystal structure of LaTmZn4 from Alexandria via LeMat-Bulk. Energies are from PBE-GGA.

Cell: 7.8326 7.8326 7.8326 Å, 90.00 90.00 90.00°
With the nearest neighbours (Å) after each atom.
Space group F-43m (No. 216)
One atom of each set of equivalent atoms:
La 0.0000 0.0000 0.0000  12 Zn 3.25, 4 Tm 3.39
Tm 0.2500 0.2500 0.2500  12 Zn 3.25, 4 La 3.39
Zn 0.1243 0.1243 0.6243  6 Zn 2.75-2.78

Its total energy is -65.63 eV/cell. For the energy relative to the elements, the calculation gives -0.32 eV/atom. The value obtained for the energy relative to the lowest polymorph listed for this composition is 23.4 meV per atom.

***

No. 10
Here is an optimized crystal structure of PaAl4Cd from Alexandria via LeMat-Bulk. Energies are from PBE-GGA.

Cell: 7.8040 7.8040 7.8040 Å, 90.00 90.00 90.00°
With the nearest neighbours (Å) after each atom.
Space group F-43m (No. 216)
One atom of each set of equivalent atoms:
Pa 0.0000 0.0000 0.0000  12 Al 3.23, 4 Cd 3.38
Al 0.1255 0.1255 0.3745  6 Al 2.75-2.77
Cd 0.2500 0.2500 0.7500  12 Al 3.24, 4 Pa 3.38

Its total energy is -101.31 eV/cell. For the energy relative to the elements, the calculation gives 0.01 eV/atom.

***

No. 11
Here is an optimized crystal structure of AcLa2TbS6 from Alexandria via LeMat-Bulk. Energies are from PBE-GGA.

Cell: 7.3159 7.3159 19.0644 Å, 90.00 90.00 120.00°
With the nearest neighbours (Å) after each atom.
Space group R3 (No. 146, hexagonal axes)
One atom of each set of equivalent atoms:
Ac 0.0000 0.0000 0.0000  6 S 2.93-3.05
La 0.0000 0.0000 0.2113  6 S 2.85-2.94
La 0.0000 0.0000 0.7166  6 S 2.89-2.93
Tb 0.0000 0.0000 0.5085  6 S 2.77-2.80
S 0.0177 0.3114 0.1096  1 Tb 2.77, 2 La 2.89-2.94, 1 Ac 3.05
S 0.0565 0.6789 0.2743  1 Tb 2.80, 2 La 2.85-2.93, 1 Ac 2.93

Its total energy is -193.41 eV/cell. The value obtained for the formation energy (no corrections) is -2.11 eV per atom.